Entry 1:
VASP calculation (PBE) on a geometry-optimized Cr2W structure.

Results
Symmetry: Cmcm (63)
Formation energy (kJ/mol of atoms): 7.4

abc: 4.2040 6.6589 2.9976
angles: 90.00 90.00 71.60
With the nearest neighbours (Å) after each atom.
Fractional coordinates of all 6 atoms:
Cr1 0.4142 0.1716 0.7500  4 Cr 2.53-2.64, 4 W 2.58
W1 0.0886 0.8229 0.7500  6 Cr 2.56-2.58, 2 W 2.69
Cr2 0.7472 0.5056 0.7500  6 Cr 2.53-2.58, 2 W 2.56
Cr3 0.5858 0.8284 0.2500  4 Cr 2.53-2.64, 4 W 2.58
Cr4 0.2528 0.4944 0.2500  6 Cr 2.53-2.58, 2 W 2.56
W2 0.9114 0.1771 0.2500  6 Cr 2.56-2.58, 2 W 2.69


Entry 2:
VASP calculation (PBE) on a geometry-optimized BaYOs2 structure.

Results
Symmetry: C2/m (12)
Formation energy (kJ/mol of atoms): 100.4

abc: 5.6931 5.6931 3.1215
angles: 77.96 77.96 114.04
With the nearest neighbours (Å) after each atom.
Fractional coordinates of all 4 atoms:
Y1 0.5000 0.0000 0.5000  4 Os 2.95, 2 Ba 3.10, 2 Y 3.12
Os1 0.0000 0.0000 0.0000  2 Y 2.95, 2 Ba 2.95, 4 Os 3.10-3.12
Ba1 0.0000 0.5000 0.5000  4 Os 2.95, 2 Y 3.10, 2 Ba 3.12
Os2 0.5000 0.5000 0.0000  2 Ba 2.95, 2 Y 2.95, 4 Os 3.10-3.12


Entry 3:
VASP calculation (PBE) on a geometry-optimized Tb2Y4TmSc structure.

Results
Symmetry: P4/mmm (123)
Formation energy (kJ/mol of atoms): 3.6

abc: 4.9831 4.9874 11.1145
angles: 63.33 90.00 90.00
With the nearest neighbours (Å) after each atom.
Fractional coordinates of all 8 atoms:
Y1 0.5000 0.7460 0.2539  2 Sc 3.49, 4 Tb 3.49-3.55, 4 Y 3.53, 2 Tm 3.55
Y2 0.0000 0.2460 0.2539  4 Tb 3.49-3.55, 2 Sc 3.49, 4 Y 3.53, 2 Tm 3.55
Y3 0.5000 0.2540 0.7461  2 Sc 3.49, 4 Tb 3.49-3.55, 4 Y 3.53, 2 Tm 3.55
Tb1 0.0000 0.0000 0.0000  4 Tm 3.53, 8 Y 3.55
Sc1 0.0000 0.5000 0.5000  8 Y 3.49, 4 Tb 3.53
Tb2 0.5000 0.0000 0.5000  8 Y 3.49, 4 Sc 3.53
Tm1 0.5000 0.5000 0.0000  4 Tb 3.53, 8 Y 3.55
Y4 0.0000 0.7540 0.7461  4 Tb 3.49-3.55, 2 Sc 3.49, 4 Y 3.53, 2 Tm 3.55


Entry 4:
VASP calculation (PBE) on a geometry-optimized LiLaBe3 structure.

Results
Symmetry: Pm-3m (221)
Formation energy (kJ/mol of atoms): 48.4

abc: 4.3329 4.3329 4.3329
angles: 90.00 90.00 90.00
With the nearest neighbours (Å) after each atom.
Fractional coordinates of all 5 atoms:
Be1 0.0000 0.5000 0.0000  2 Li 2.17
Li1 0.0000 0.0000 0.0000  6 Be 2.17
Be2 0.5000 0.0000 0.0000  2 Li 2.17
Be3 0.0000 0.0000 0.5000  2 Li 2.17
La1 0.5000 0.5000 0.5000  12 Be 3.06


Entry 5:
VASP calculation (PBE) on a geometry-optimized Pr2BiCl2 structure.

Results
Formation energy without anion corrections (eV/atom): -1.507
Symmetry: P-1 (2)

abc: 4.4626 9.6651 7.6409
angles: 98.00 89.99 76.73
With the nearest neighbours (Å) after each atom.
Fractional coordinates of all 10 atoms:
Bi1 0.7850 0.9292 0.2161  6 Pr 3.25-3.35
Pr1 0.6319 0.2385 0.0462  4 Cl 3.00-3.04, 3 Bi 3.25-3.35
Cl1 0.4779 0.5497 0.2131  3 Pr 2.84-3.02
Pr2 0.3681 0.7615 0.9538  4 Cl 3.00-3.04, 3 Bi 3.25-3.35
Cl2 0.1063 0.2899 0.3185  4 Pr 2.98-3.04
Cl3 0.5221 0.4503 0.7869  3 Pr 2.84-3.02
Pr3 0.3477 0.8024 0.4653  3 Cl 2.84-2.98
Bi2 0.2150 0.0708 0.7839  6 Pr 3.25-3.35
Pr4 0.6523 0.1976 0.5347  3 Cl 2.84-2.98
Cl4 0.8937 0.7101 0.6815  4 Pr 2.98-3.04


Entry 6:
VASP calculation (PBE) on a geometry-optimized CdHg2Sb structure.

Results
Formation energy without anion corrections (eV/atom): 0.056
Symmetry: Cmmm (65)

abc: 5.5816 4.3522 4.3590
angles: 87.15 90.00 90.00
With the nearest neighbours (Å) after each atom.
Fractional coordinates of all 4 atoms:
Cd1 0.5000 0.7500 0.7500  4 Sb 3.00-3.16, 4 Hg 3.20
Sb1 0.5000 0.2500 0.2500  4 Cd 3.00-3.16, 4 Hg 3.21
Hg1 0.0000 0.5023 0.5023  4 Hg 3.00-3.19, 2 Cd 3.20, 2 Sb 3.21
Hg2 0.0000 0.9977 0.9977  4 Hg 3.00-3.19, 2 Cd 3.20, 2 Sb 3.21


Entry 7:
VASP calculation (PBE) on a geometry-optimized Pm3PrEr2Tm6 structure.

Results
Symmetry: C2/m (12)
Formation energy (kJ/mol of atoms): 2.1

abc: 6.1532 6.1532 11.7022
angles: 95.02 95.02 119.98
With the nearest neighbours (Å) after each atom.
Fractional coordinates of all 12 atoms:
Pm1 0.8331 0.1669 0.5000  6 Tm 3.55, 6 Pm 3.55-3.56
Tm1 0.4172 0.0831 0.2486  2 Er 3.52, 1 Pr 3.53, 3 Pm 3.55, 6 Tm 3.55-3.56
Pm2 0.1669 0.8331 0.5000  6 Tm 3.55, 6 Pm 3.55-3.56
Tm2 0.9169 0.5828 0.7514  2 Er 3.52, 1 Pr 3.53, 3 Pm 3.55, 6 Tm 3.55-3.56
Er1 0.6669 0.3331 0.0000  6 Tm 3.52, 3 Pr 3.55, 3 Er 3.55-3.56
Tm3 0.0831 0.4172 0.2486  2 Er 3.52, 1 Pr 3.53, 3 Pm 3.55, 6 Tm 3.55-3.56
Tm4 0.2510 0.2510 0.7515  2 Er 3.52, 1 Pr 3.52, 3 Pm 3.55, 6 Tm 3.55-3.56
Tm5 0.7490 0.7490 0.2485  2 Er 3.52, 1 Pr 3.52, 3 Pm 3.55, 6 Tm 3.55-3.56
Pr1 0.0000 0.0000 0.0000  6 Tm 3.52-3.53, 6 Er 3.55
Pm3 0.5000 0.5000 0.5000  6 Tm 3.55, 6 Pm 3.55
Er2 0.3331 0.6669 0.0000  6 Tm 3.52, 3 Pr 3.55, 3 Er 3.55-3.56
Tm6 0.5828 0.9169 0.7514  2 Er 3.52, 1 Pr 3.53, 3 Pm 3.55, 6 Tm 3.55-3.56


Entry 8:
VASP calculation (PBE) on a geometry-optimized NdZnRh4 structure.

Results
Symmetry: Cmcm (63)
Formation energy (kJ/mol of atoms): -25.3

abc: 4.0115 6.2932 8.3808
angles: 90.00 103.85 90.00
With the nearest neighbours (Å) after each atom.
Fractional coordinates of all 12 atoms:
Rh1 0.0761 0.7500 0.1523  1 Zn 2.53, 4 Rh 2.81
Zn1 0.2315 0.7500 0.4630  7 Rh 2.48-2.59
Rh2 0.5000 0.5000 0.0000  6 Rh 2.75-2.83, 4 Nd 3.05
Rh3 0.9239 0.2500 0.8477  1 Zn 2.53, 4 Rh 2.81
Rh4 0.6681 0.9537 0.3363  3 Zn 2.48-2.59, 2 Rh 2.56-2.75
Nd1 0.1031 0.2500 0.2061  11 Rh 2.92-3.18
Rh5 0.3319 0.4537 0.6637  3 Zn 2.48-2.59, 2 Rh 2.56-2.75
Rh6 0.6681 0.5463 0.3363  3 Zn 2.48-2.59, 2 Rh 2.56-2.75
Rh7 0.5000 0.0000 0.0000  6 Rh 2.75-2.83, 4 Nd 3.05
Zn2 0.7685 0.2500 0.5370  7 Rh 2.48-2.59
Nd2 0.8969 0.7500 0.7939  11 Rh 2.92-3.18
Rh8 0.3319 0.0463 0.6637  3 Zn 2.48-2.59, 2 Rh 2.56-2.75


no.,E_tot (eV/cell)
1,-63.94
2,-26.69
3,-45.62
4,-15.51
5,-49.34
6,-5.42
7,-54.73
8,-74.04